# 1
PBE MnZnMo2, relaxed; calculated density = 8.887 g/cm³; calculated total energy = -7.8457 eV/atom; space group = P4/mmm, No. 123
1.0
2.638 0.000 0.000
0.000 2.638 0.000
0.000 0.000 8.384
Mn Zn Mo
1 1 2
Cartesian
0.000 0.000 0.000 Mn
0.000 0.000 4.192 Zn
1.319 1.319 2.060 Mo
1.319 1.319 6.324 Mo

=====

# 2
PBE LiEu2N, relaxed; calculated density = 5.013 g/cm³; calculated total energy = -8.1822 eV/atom; raw formation energy = -1.9 eV per formula unit; space group = R-3m, No. 166
1.0
3.577 0.000 0.000
-1.789 3.098 0.000
0.000 0.000 29.126
Li Eu N
3 6 3
Cartesian
0.000 0.000 0.000 Li
0.000 2.065 19.417 Li
1.789 1.033 9.709 Li
0.000 0.000 3.459 Eu
0.000 0.000 25.667 Eu
0.000 2.065 15.958 Eu
0.000 2.065 22.876 Eu
1.789 1.033 6.250 Eu
1.789 1.033 13.168 Eu
0.000 0.000 14.563 N
0.000 2.065 4.854 N
1.789 1.033 24.272 N

=====

# 3
PBE ZrMoAu2, relaxed; calculated density = 13.130 g/cm³; calculated total energy = -6.5225 eV/atom; space group = Cm, No. 8
1.0
9.594 0.000 0.000
0.000 3.057 0.000
-1.071 0.000 5.012
Zr Mo Au
2 2 4
Cartesian
0.000 0.000 0.000 Zr
4.797 1.528 0.000 Zr
2.040 1.528 1.330 Mo
6.837 0.000 1.330 Mo
1.544 0.000 3.774 Au
4.161 0.000 2.447 Au
6.341 1.528 3.774 Au
8.959 1.528 2.447 Au

=====

Calculated total moment, 2.404; 42.621; 0.000 μB/cell (same order as the records).